Material: MgHgMo2
Method: DFT, GGA-PBE
State: optimized geometry

Values from the calculation:
DOS at the Fermi energy = 3.27 states/eV/cell
E_form = 442.0 meV/atom
final energy = -21.8 eV/cell
M_tot = 0.00 μB per atom
excess energy over the best structure of this formula in the dataset = 236 meV/atom

```
MgHgMo2
1.0
4.878 -0.042 0.000
1.223 4.722 0.000
-3.051 -2.340 3.002
Mg Mo Hg
1 2 1
Cartesian
2.439 -0.021 1.501
0.612 2.361 1.501
0.000 0.000 0.000
3.051 2.340 0.000
```